SbRh3 PBEsol relaxed; formation energy without anion corrections = -0.271 eV/atom; DOS at the Fermi energy = 2.68 states/eV/f.u.; space-group type = Pm-3m, No. 221
1.0
-1.3755 3.6310 -0.3894
-3.6176 -1.4116 -0.3850
-0.4991 0.2253 3.8637
Rh Sb
3 1
direct
0.5000 0.0000 0.5000
0.5000 0.5000 0.0000
0.0000 0.5000 0.5000
0.0000 0.0000 0.0000